No. 1
The following is a DFT calculation (PBE-GGA) of crystalline Cs2KBiBr6 at its relaxed geometry.

For the uncorrected formation energy, the calculation gives -1.41 eV/atom. The value obtained for the distance to the lowest polymorph of the same formula is 0.0 meV/atom. As for the calculated total energy: -61.7 eV for the cell shown.

It has space group P2_1/c (No. 14), with a = 8.324 Å, b = 8.668 Å, c = 14.537 Å, α = 90.00°, β = 124.83° and γ = 90.00°. The distinct sites, in fractional coordinates, are Cs at (0.230, 0.063, 0.250), K at (0.500, 0.000, 0.000), Bi at (0.000, 0.000, 0.500), Br at (0.138, 0.224, 0.953), Br at (0.238, 0.688, 0.958) and Br at (0.320, 0.023, 0.733).


No. 2
The following is a DFT calculation (PBE-GGA) of crystalline Cs2LaBiBr6 at its relaxed geometry.

For the uncorrected formation energy, the calculation gives -1.44 eV/atom. As for the calculated total energy: -69.9 eV for the cell shown.

It has space group I4/mmm (No. 139), with a = 8.260 Å, b = 8.260 Å, c = 14.041 Å, α = 90.00°, β = 90.00° and γ = 90.00°. The distinct sites, in fractional coordinates, are Cs at (0.000, 0.500, 0.250), La at (0.000, 0.000, 0.000), Bi at (0.000, 0.000, 0.500), Br at (0.000, 0.000, 0.208) and Br at (0.250, 0.250, 0.000).


No. 3
The following is a DFT calculation (PBE-GGA) of crystalline Cs2LiBiBr6 at its relaxed geometry.

For the uncorrected formation energy, the calculation gives -1.35 eV/atom. As for the calculated total energy: -124.3 eV for the cell shown.

It has space group Fm-3m (No. 225), with a = 11.333 Å, b = 11.333 Å, c = 11.333 Å, α = 90.00°, β = 90.00° and γ = 90.00°. The distinct sites, in fractional coordinates, are Cs at (0.250, 0.250, 0.250), Li at (0.000, 0.000, 0.000), Bi at (0.000, 0.000, 0.500) and Br at (0.000, 0.000, 0.246).


No. 4
The following is a DFT calculation (PBE-GGA) of crystalline CsLiBi2Br8 at its relaxed geometry.

For the uncorrected formation energy, the calculation gives -1.00 eV/atom. As for the calculated total energy: -35.9 eV for the cell shown.

It has space group P-1 (No. 2), with a = 7.599 Å, b = 8.437 Å, c = 8.960 Å, α = 93.25°, β = 90.29° and γ = 115.62°. The distinct sites, in fractional coordinates, are Cs at (0.000, 0.000, 0.000), Li at (0.000, 0.000, 0.500), Bi at (0.014, 0.510, 0.261), Br at (0.172, 0.243, 0.693), Br at (0.242, 0.701, 0.985), Br at (0.243, 0.331, 0.277) and Br at (0.247, 0.722, 0.541).


No. 5
The following is a DFT calculation (PBE-GGA) of crystalline Cs2LiBiBr6 at its relaxed geometry.

For the uncorrected formation energy, the calculation gives -1.35 eV/atom. As for the calculated total energy: -62.1 eV for the cell shown.

It has space group P2_1/c (No. 14), with a = 8.012 Å, b = 7.996 Å, c = 13.892 Å, α = 90.00°, β = 125.20° and γ = 90.00°. The distinct sites, in fractional coordinates, are Cs at (0.249, 0.007, 0.250), Li at (0.000, 0.000, 0.500), Bi at (0.500, 0.000, 0.000), Br at (0.221, 0.239, 0.989), Br at (0.251, 0.732, 0.990) and Br at (0.268, 0.501, 0.247).


No. 6
The following is a DFT calculation (PBE-GGA) of crystalline CsLi2BiBr6 at its relaxed geometry.

For the uncorrected formation energy, the calculation gives -1.29 eV/atom. As for the calculated total energy: -31.5 eV for the cell shown.

It has space group P-1 (No. 2), with a = 7.084 Å, b = 7.085 Å, c = 9.698 Å, α = 68.61°, β = 68.62° and γ = 60.01°. The distinct sites, in fractional coordinates, are Cs at (0.000, 0.000, 0.000), Li at (0.170, 0.170, 0.491), Bi at (0.500, 0.500, 0.500), Br at (0.097, 0.782, 0.678), Br at (0.219, 0.557, 0.322) and Br at (0.443, 0.097, 0.678).


Question: Look up the calculated total energy of the third one.
Answer: -124.3 eV for the cell shown


Question: calculated total energy of number 2 (Cs2LaBiBr6)?
Answer: -69.9 eV for the cell shown